A geometry-optimized ScSi2Sb structure, computed with GGA-PBE.

The structure in POSCAR format:
```
ScSi2Sb
1.0
3.125 0.076 0.000
-0.527 3.081 0.000
0.000 0.000 8.615
Sb Sc Si
1 1 2
Direct
0.000 0.000 0.527
0.500 0.500 0.795
0.000 0.000 0.009
0.500 0.500 0.170
```

- formation energy (no corrections) (eV per formula unit) = -0.09
- calculated density (Mg/m³) = 4.44